Entry 1:
A relaxed LiZnSbIr crystal, computed with PBE.

Unit cell a=4.4815 b=4.4815 c=4.4815 alpha=60.00 beta=60.00 gamma=60.00
With the nearest neighbours (Å) after each atom.
Atoms (fractional coordinates):
Li: 0.0000 0.0000 0.0000  4 Sb 2.74, 4 Zn 2.74
Zn: 0.2500 0.2500 0.2500  4 Li 2.74, 4 Ir 2.74
Sb: 0.7500 0.7500 0.7500  4 Li 2.74, 4 Ir 2.74
Ir: 0.5000 0.5000 0.5000  4 Sb 2.74, 4 Zn 2.74

Results
The calculation puts the calculated volume at 15.9 A^3/atom. The value obtained for the total energy is -4.350 eV/atom. As for the space group: F-43m (216).

***

Entry 2:
A relaxed Ta3TcMo crystal, computed with PBE.

Unit cell a=8.4289 b=8.4289 c=4.5459 alpha=90.00 beta=90.00 gamma=148.62
With the nearest neighbours (Å) after each atom.
Atoms (fractional coordinates):
Ta: 0.0552 0.9448 0.7500  2 Tc 2.75, 2 Mo 2.76, 4 Ta 2.89
Ta: 0.2502 0.7498 0.7500  4 Mo 2.78-2.79, 4 Tc 2.79
Ta: 0.4452 0.5548 0.7500  2 Mo 2.75, 2 Tc 2.76, 4 Ta 2.89
Ta: 0.5548 0.4452 0.2500  2 Mo 2.75, 2 Tc 2.76, 4 Ta 2.89
Ta: 0.7498 0.2502 0.2500  4 Mo 2.78-2.79, 4 Tc 2.79
Ta: 0.9448 0.0552 0.2500  2 Tc 2.75, 2 Mo 2.76, 4 Ta 2.89
Tc: 0.1503 0.8497 0.2500  8 Ta 2.75-2.79
Tc: 0.8497 0.1503 0.7500  8 Ta 2.75-2.79
Mo: 0.3493 0.6507 0.2500  8 Ta 2.75-2.79
Mo: 0.6507 0.3493 0.7500  8 Ta 2.75-2.79

Results
The value obtained for the formation energy from the elements is -1.6 eV per formula unit. The calculation puts the calculated volume at 16.8 A^3/atom. The value obtained for the total energy is -11.676 eV/atom. As for the space group: Cmcm (63).

***

Entry 3:
A relaxed GaAsIBr2 crystal, computed with PBE.

Unit cell a=5.9827 b=5.9827 c=5.5101 alpha=90.00 beta=90.00 gamma=90.00
With the nearest neighbours (Å) after each atom.
Atoms (fractional coordinates):
Ga: 0.0000 0.0000 0.0000  8 Br 4.07, 4 As 4.23
As: 0.5000 0.5000 0.0000  2 I 2.76
I: 0.5000 0.5000 0.5000  2 As 2.76, 4 Br 2.99
Br: 0.0000 0.5000 0.5000  2 I 2.99
Br: 0.5000 0.0000 0.5000  2 I 2.99

Results
The calculation puts the calculated volume at 39.4 A^3/atom. The value obtained for the total energy is -2.056 eV/atom. As for the space group: P4/mmm (123).

***

Entry 4:
A relaxed Y3Ho5Co2 crystal, computed with PBE.

Unit cell a=9.7089 b=9.7089 c=9.7089 alpha=117.17 beta=81.59 gamma=133.60
With the nearest neighbours (Å) after each atom.
Atoms (fractional coordinates):
Y: 0.1249 0.7432 0.8681  1 Co 2.63
Y: 0.2500 0.2500 0.0000  4 Co 2.72
Y: 0.3751 0.2432 0.6182  1 Co 2.63
Y: 0.6249 0.7568 0.3818  1 Co 2.63
Y: 0.7500 0.7500 0.0000  4 Co 2.72
Y: 0.8751 0.2568 0.1319  1 Co 2.63
Ho: 0.0035 0.7500 0.2535  2 Co 2.62
Ho: 0.1235 0.2584 0.3820  1 Co 2.59
Ho: 0.2500 0.7500 0.5000  8 Ho 3.60-3.82, 4 Y 3.62
Ho: 0.3765 0.7584 0.1349  1 Co 2.59
Ho: 0.4965 0.7500 0.7465  2 Co 2.62
Ho: 0.5035 0.2500 0.2535  2 Co 2.62
Ho: 0.6235 0.2416 0.8651  1 Co 2.59
Ho: 0.7500 0.2500 0.5000  8 Ho 3.60-3.82, 4 Y 3.62
Ho: 0.8765 0.7416 0.6180  1 Co 2.59
Ho: 0.9965 0.2500 0.7465  2 Co 2.62
Co: 0.1320 0.0031 0.1351  3 Ho 2.59-2.62, 3 Y 2.63-2.72
Co: 0.3680 0.5031 0.8711  3 Ho 2.59-2.62, 3 Y 2.63-2.72
Co: 0.6320 0.4969 0.1289  3 Ho 2.59-2.62, 3 Y 2.63-2.72
Co: 0.8680 0.9969 0.8649  3 Ho 2.59-2.62, 3 Y 2.63-2.72

Results
The value obtained for the formation energy from the elements is -0.3 eV per formula unit. The calculation puts the calculated volume at 28.5 A^3/atom. The value obtained for the total energy is -5.680 eV/atom. As for the space group: Ibam (72).